## TlCu4S3 (SCAN)

Data for a PBEsol-optimized structure of TlCu4S3.

a = 3.788 Å, b = 3.788 Å, c = 9.272 Å
α = 90.00°, β = 90.00°, γ = 90.00°
Space group P4/mmm (No. 123)
Inequivalent atoms, fractional coordinates:
Tl  0.000  0.000  0.000 x1
Cu  0.000  0.500  0.340 x4
S  0.000  0.000  0.500 x1
S  0.500  0.500  0.204 x2

## Properties
DFT total energy   -164.19 eV/cell
E_form (uncorrected)   -0.27 eV/atom
Calculated volume   133 Å³ per cell